The following is a PBE calculation of crystalline Te3WN at its relaxed geometry, from the Alexandria database.

Cell and atoms, written as CIF:
```
data_Te3WN
_cell_length_a 5.3231
_cell_length_b 5.3231
_cell_length_c 5.3231
_cell_angle_alpha 90.00
_cell_angle_beta 90.00
_cell_angle_gamma 90.00
_space_group_name_H-M_alt 'P 1'
_space_group_IT_number 1
loop_
_space_group_symop_operation_xyz
'x,y,z'
loop_
_atom_site_label
_atom_site_type_symbol
_atom_site_fract_x
_atom_site_fract_y
_atom_site_fract_z
Te1 Te 0.0000 0.0000 0.5000
Te2 Te 0.0000 0.5000 0.0000
Te3 Te 0.5000 0.0000 0.0000
W1 W 0.0000 0.0000 0.0000
N1 N 0.5000 0.5000 0.5000
```

Uncorrected formation energy: 1.468 eV per atom
Space-group type: No. 221
Energy above the lowest structure with this stoichiometry: 0.176 eV per atom

The following is a PBE calculation of crystalline NiI at its relaxed geometry, from the Alexandria database.

Cell and atoms, written as CIF:
```
data_NiI
_cell_length_a 6.8646
_cell_length_b 6.8646
_cell_length_c 6.8646
_cell_angle_alpha 109.47
_cell_angle_beta 109.47
_cell_angle_gamma 109.47
_space_group_name_H-M_alt 'P 1'
_space_group_IT_number 1
loop_
_space_group_symop_operation_xyz
'x,y,z'
loop_
_atom_site_label
_atom_site_type_symbol
_atom_site_fract_x
_atom_site_fract_y
_atom_site_fract_z
Ni1 Ni 0.0000 0.0000 0.7739
Ni2 Ni 0.0000 0.7739 0.0000
Ni3 Ni 0.2261 0.2261 0.2261
Ni4 Ni 0.7739 0.0000 0.0000
I1 I 0.0000 0.0000 0.3935
I2 I 0.0000 0.3935 0.0000
I3 I 0.3935 0.0000 0.0000
I4 I 0.6065 0.6065 0.6065
```

Uncorrected formation energy: 0.154 eV per atom
Space-group type: No. 217

The following is a PBE calculation of crystalline MgTl2I3Cl at its relaxed geometry, from the Alexandria database.

Cell and atoms, written as CIF:
```
data_MgTl2I3Cl
_cell_length_a 9.8994
_cell_length_b 9.8994
_cell_length_c 9.8994
_cell_angle_alpha 151.39
_cell_angle_beta 146.03
_cell_angle_gamma 44.99
_space_group_name_H-M_alt 'P 1'
_space_group_IT_number 1
loop_
_space_group_symop_operation_xyz
'x,y,z'
loop_
_atom_site_label
_atom_site_type_symbol
_atom_site_fract_x
_atom_site_fract_y
_atom_site_fract_z
Mg1 Mg 0.0000 0.0000 0.0000
Tl1 Tl 0.3542 0.3542 0.0000
Tl2 Tl 0.6458 0.6458 0.0000
I1 I 0.1635 0.1635 0.0000
I2 I 0.5000 0.0000 0.5000
I3 I 0.8365 0.8365 0.0000
Cl1 Cl 0.0000 0.5000 0.5000
```

Uncorrected formation energy: -0.936 eV per atom
Space-group type: No. 71

The following is a PBE calculation of crystalline ReSiIr2Pd at its relaxed geometry, from the Alexandria database.

Cell and atoms, written as CIF:
```
data_ReSiIr2Pd
_cell_length_a 4.4276
_cell_length_b 4.4276
_cell_length_c 4.4085
_cell_angle_alpha 90.00
_cell_angle_beta 90.00
_cell_angle_gamma 90.00
_space_group_name_H-M_alt 'P 1'
_space_group_IT_number 1
loop_
_space_group_symop_operation_xyz
'x,y,z'
loop_
_atom_site_label
_atom_site_type_symbol
_atom_site_fract_x
_atom_site_fract_y
_atom_site_fract_z
Re1 Re 0.0000 0.0000 0.0000
Si1 Si 0.5000 0.5000 0.5000
Ir1 Ir 0.0000 0.5000 0.5000
Ir2 Ir 0.5000 0.0000 0.5000
Pd1 Pd 0.5000 0.5000 0.0000
```

Uncorrected formation energy: 1.005 eV per atom
Space-group type: No. 123

The following is a PBE calculation of crystalline HfUFe2 at its relaxed geometry, from the Alexandria database.

Cell and atoms, written as CIF:
```
data_HfUFe2
_cell_length_a 3.0093
_cell_length_b 3.0093
_cell_length_c 6.9677
_cell_angle_alpha 90.00
_cell_angle_beta 90.00
_cell_angle_gamma 90.00
_space_group_name_H-M_alt 'P 1'
_space_group_IT_number 1
loop_
_space_group_symop_operation_xyz
'x,y,z'
loop_
_atom_site_label
_atom_site_type_symbol
_atom_site_fract_x
_atom_site_fract_y
_atom_site_fract_z
Hf1 Hf 0.0000 0.0000 0.0000
U1 U 0.0000 0.0000 0.5000
Fe1 Fe 0.5000 0.5000 0.2329
Fe2 Fe 0.5000 0.5000 0.7671
```

Space-group type: No. 123
DFT formation energy: -0.067 eV/atom

The following is a PBE calculation of crystalline Rb2AlTlSb2 at its relaxed geometry, from the Alexandria database.

Cell and atoms, written as CIF:
```
data_Rb2AlTlSb2
_cell_length_a 9.7520
_cell_length_b 9.7520
_cell_length_c 9.7520
_cell_angle_alpha 133.70
_cell_angle_beta 65.12
_cell_angle_gamma 136.87
_space_group_name_H-M_alt 'P 1'
_space_group_IT_number 1
loop_
_space_group_symop_operation_xyz
'x,y,z'
loop_
_atom_site_label
_atom_site_type_symbol
_atom_site_fract_x
_atom_site_fract_y
_atom_site_fract_z
Rb1 Rb 0.1689 0.2247 0.3937
Rb2 Rb 0.3311 0.7247 0.0558
Rb3 Rb 0.6689 0.2753 0.9442
Rb4 Rb 0.8311 0.7753 0.6063
Al1 Al 0.2500 0.7500 0.5000
Al2 Al 0.7500 0.2500 0.5000
Tl1 Tl 0.2500 0.2500 0.0000
Tl2 Tl 0.7500 0.7500 0.0000
Sb1 Sb 0.0976 0.6835 0.7811
Sb2 Sb 0.4024 0.1835 0.5859
Sb3 Sb 0.5976 0.8165 0.4141
Sb4 Sb 0.9024 0.3165 0.2189
```

Uncorrected formation energy: -0.324 eV per atom
Space-group type: No. 72

The following is a PBE calculation of crystalline Sr3SmHo2Se6 at its relaxed geometry, from the Alexandria database.

Cell and atoms, written as CIF:
```
data_Sr3SmHo2Se6
_cell_length_a 7.3004
_cell_length_b 7.3004
_cell_length_c 7.4682
_cell_angle_alpha 99.40
_cell_angle_beta 99.40
_cell_angle_gamma 119.94
_space_group_name_H-M_alt 'P 1'
_space_group_IT_number 1
loop_
_space_group_symop_operation_xyz
'x,y,z'
loop_
_atom_site_label
_atom_site_type_symbol
_atom_site_fract_x
_atom_site_fract_y
_atom_site_fract_z
Sr1 Sr 0.0000 0.0000 0.0000
Sr2 Sr 0.3355 0.6645 0.0000
Sr3 Sr 0.6645 0.3355 0.0000
Sm1 Sm 0.5000 0.5000 0.5000
Ho1 Ho 0.1673 0.8327 0.5000
Ho2 Ho 0.8327 0.1673 0.5000
Se1 Se 0.0827 0.4226 0.2680
Se2 Se 0.2366 0.2366 0.7303
Se3 Se 0.4226 0.0827 0.2680
Se4 Se 0.5774 0.9173 0.7320
Se5 Se 0.7634 0.7634 0.2697
Se6 Se 0.9173 0.5774 0.7320
```

Uncorrected formation energy: -1.883 eV per atom
Space-group type: No. 12

The following is a PBE calculation of crystalline CaHRhAu2 at its relaxed geometry, from the Alexandria database.

Cell and atoms, written as CIF:
```
data_CaHRhAu2
_cell_length_a 4.4531
_cell_length_b 4.4531
_cell_length_c 3.8998
_cell_angle_alpha 90.00
_cell_angle_beta 90.00
_cell_angle_gamma 90.00
_space_group_name_H-M_alt 'P 1'
_space_group_IT_number 1
loop_
_space_group_symop_operation_xyz
'x,y,z'
loop_
_atom_site_label
_atom_site_type_symbol
_atom_site_fract_x
_atom_site_fract_y
_atom_site_fract_z
Ca1 Ca 0.0000 0.0000 0.0000
H1 H 0.5000 0.5000 0.5000
Rh1 Rh 0.5000 0.5000 0.0000
Au1 Au 0.0000 0.5000 0.5000
Au2 Au 0.5000 0.0000 0.5000
```

Space-group type: No. 123
Final energy: -20.6 eV per cell

The following is a PBE calculation of crystalline VFe at its relaxed geometry, from the Alexandria database.

Cell and atoms, written as CIF:
```
data_VFe
_cell_length_a 6.6571
_cell_length_b 6.6571
_cell_length_c 6.6571
_cell_angle_alpha 91.89
_cell_angle_beta 91.89
_cell_angle_gamma 159.10
_space_group_name_H-M_alt 'P 1'
_space_group_IT_number 1
loop_
_space_group_symop_operation_xyz
'x,y,z'
loop_
_atom_site_label
_atom_site_type_symbol
_atom_site_fract_x
_atom_site_fract_y
_atom_site_fract_z
V1 V 0.1135 0.3498 0.4633
V2 V 0.3498 0.8865 0.2363
V3 V 0.6502 0.1135 0.7637
V4 V 0.8865 0.6502 0.5367
Fe1 Fe 0.0847 0.8449 0.9296
Fe2 Fe 0.1551 0.0847 0.2399
Fe3 Fe 0.8449 0.9153 0.7601
Fe4 Fe 0.9153 0.1551 0.0704
```

Space-group type: No. 87
DFT formation energy: 0.386 eV/atom

The following is a PBE calculation of crystalline Tb2Pr5Sm2 at its relaxed geometry, from the Alexandria database.

Cell and atoms, written as CIF:
```
data_Tb2Pr5Sm2
_cell_length_a 6.3577
_cell_length_b 6.3577
_cell_length_c 10.9771
_cell_angle_alpha 106.96
_cell_angle_beta 106.96
_cell_angle_gamma 48.09
_space_group_name_H-M_alt 'P 1'
_space_group_IT_number 1
loop_
_space_group_symop_operation_xyz
'x,y,z'
loop_
_atom_site_label
_atom_site_type_symbol
_atom_site_fract_x
_atom_site_fract_y
_atom_site_fract_z
Tb1 Tb 0.1669 0.1669 0.2233
Tb2 Tb 0.8331 0.8331 0.7767
Pr1 Pr 0.1656 0.1656 0.8882
Pr2 Pr 0.1672 0.1672 0.5551
Pr3 Pr 0.5000 0.5000 0.0000
Pr4 Pr 0.8328 0.8328 0.4449
Pr5 Pr 0.8344 0.8344 0.1118
Sm1 Sm 0.4993 0.4993 0.3327
Sm2 Sm 0.5007 0.5007 0.6673
```

Space-group type: No. 12
Energy above the lowest structure with this stoichiometry: 0.000 eV per atom
DFT formation energy: 0.016 eV/atom

The following is a PBE calculation of crystalline NpBiPd14 at its relaxed geometry, from the Alexandria database.

Cell and atoms, written as CIF:
```
data_NpBiPd14
_cell_length_a 5.8111
_cell_length_b 5.8111
_cell_length_c 7.8109
_cell_angle_alpha 90.00
_cell_angle_beta 90.00
_cell_angle_gamma 90.00
_space_group_name_H-M_alt 'P 1'
_space_group_IT_number 1
loop_
_space_group_symop_operation_xyz
'x,y,z'
loop_
_atom_site_label
_atom_site_type_symbol
_atom_site_fract_x
_atom_site_fract_y
_atom_site_fract_z
Np1 Np 0.0000 0.0000 0.0000
Bi1 Bi 0.5000 0.5000 0.0000
Pd1 Pd 0.0000 0.0000 0.5000
Pd2 Pd 0.0000 0.5000 0.0000
Pd3 Pd 0.0000 0.5000 0.5000
Pd4 Pd 0.2470 0.2470 0.2548
Pd5 Pd 0.2470 0.2470 0.7452
Pd6 Pd 0.2470 0.7530 0.2548
Pd7 Pd 0.2470 0.7530 0.7452
Pd8 Pd 0.5000 0.0000 0.0000
Pd9 Pd 0.5000 0.0000 0.5000
Pd10 Pd 0.5000 0.5000 0.5000
Pd11 Pd 0.7530 0.2470 0.2548
Pd12 Pd 0.7530 0.2470 0.7452
Pd13 Pd 0.7530 0.7530 0.2548
Pd14 Pd 0.7530 0.7530 0.7452
```

Space-group type: No. 123
DFT formation energy: -0.186 eV/atom

The following is a PBE calculation of crystalline La3PmNd2S6 at its relaxed geometry, from the Alexandria database.

Cell and atoms, written as CIF:
```
data_La3PmNd2S6
_cell_length_a 7.1178
_cell_length_b 7.1178
_cell_length_c 7.1064
_cell_angle_alpha 99.62
_cell_angle_beta 99.62
_cell_angle_gamma 120.09
_space_group_name_H-M_alt 'P 1'
_space_group_IT_number 1
loop_
_space_group_symop_operation_xyz
'x,y,z'
loop_
_atom_site_label
_atom_site_type_symbol
_atom_site_fract_x
_atom_site_fract_y
_atom_site_fract_z
La1 La 0.0000 0.0000 0.0000
La2 La 0.3327 0.6673 0.0000
La3 La 0.6673 0.3327 0.0000
Pm1 Pm 0.5000 0.5000 0.5000
Nd1 Nd 0.1666 0.8334 0.5000
Nd2 Nd 0.8334 0.1666 0.5000
S1 S 0.0873 0.4189 0.2563
S2 S 0.2499 0.2499 0.7444
S3 S 0.4189 0.0873 0.2563
S4 S 0.5811 0.9127 0.7437
S5 S 0.7501 0.7501 0.2556
S6 S 0.9127 0.5811 0.7437
```

Uncorrected formation energy: -2.106 eV per atom
Space-group type: No. 12